A relaxed MnRe4Pt crystal. Source: Alexandria via LeMat-Bulk, functional PBE-GGA.

For the total energy, the calculation gives -249.9 eV for the cell shown. For the volume, the calculation gives 16.00 A^3/atom. The energy of formation from the pure elements is 419 meV per atom.

The space group is F-43m (No. 216) and the conventional cell measures 7.268, 7.268 and 7.268 Å, with angles of 90.00, 90.00 and 90.00 degrees. The distinct sites, in fractional coordinates, are Mn at (0.000, 0.000, 0.000), Re at (0.125, 0.125, 0.375) and Pt at (0.250, 0.250, 0.750).


A relaxed LiGaCo2C crystal. Source: Alexandria via LeMat-Bulk, functional PBE-GGA.

For the total energy, the calculation gives -28.7 eV for the cell shown. For the volume, the calculation gives 10.68 A^3/atom. The energy of formation from the pure elements is -63 meV per atom.

The space group is P4/mmm (No. 123) and the conventional cell measures 3.693, 3.693 and 3.915 Å, with angles of 90.00, 90.00 and 90.00 degrees. The distinct sites, in fractional coordinates, are Li at (0.000, 0.000, 0.000), Ga at (0.500, 0.500, 0.000), Co at (0.000, 0.500, 0.500) and C at (0.000, 0.000, 0.500).


A relaxed YCd2Se crystal. Source: Alexandria via LeMat-Bulk, functional PBE-GGA.

For the total energy, the calculation gives -29.2 eV for the cell shown. For the raw formation energy, the calculation gives -0.704 eV/atom. For the volume, the calculation gives 24.39 A^3/atom.

The space group is Immm (No. 71) and the conventional cell measures 4.070, 4.083 and 11.740 Å, with angles of 90.00, 90.00 and 90.00 degrees. The distinct sites, in fractional coordinates, are Y at (0.000, 0.000, 0.000), Cd at (0.000, 0.500, 0.250) and Se at (0.000, 0.000, 0.500).


> Which of these has the lowest volume?

LiGaCo2C